PBE UGeB, relaxed; calculated formation energy = 0.16 eV/atom; crystal system = tetragonal; raw total energy = -7.36 eV/atom; theoretical density = 10.54 g/cm3
1.0
-2.284 2.563 2.367
0.730 -2.415 3.319
5.545 3.047 -1.621
U B Ge
2 2 2
direct
0.111 0.111 0.222 U
0.889 0.889 0.778 U
0.000 0.500 0.000 B
0.500 0.000 0.000 B
0.638 0.638 0.276 Ge
0.362 0.362 0.724 Ge

***

PBE Nd8In2Ru, relaxed; calculated formation energy = -0.23 eV/atom; crystal system = monoclinic; raw total energy = -5.04 eV/atom; theoretical density = 7.37 g/cm3
1.0
-4.419 -0.140 3.584
0.902 -7.029 0.836
6.872 4.789 4.141
Nd In Ru
8 2 1
direct
0.390 0.602 0.781 Nd
0.637 0.898 0.274 Nd
0.803 0.770 0.605 Nd
0.995 0.237 0.990 Nd
0.197 0.230 0.395 Nd
0.363 0.102 0.726 Nd
0.610 0.398 0.219 Nd
0.005 0.763 0.010 Nd
0.816 0.312 0.632 In
0.184 0.688 0.368 In
0.500 0.000 0.000 Ru

***

PBE Ce2ScGeN5, relaxed; crystal system = orthorhombic; raw total energy = -8.22 eV/atom; theoretical density = 6.72 g/cm3; energy relative to the elements, uncorrected = -1058 meV per atom
1.0
-1.643 -0.665 -2.802
-4.050 -3.113 5.075
-5.180 8.430 1.037
Ce Sc Ge N
4 2 2 10
direct
0.866 0.732 0.800 Ce
0.117 0.235 0.680 Ce
0.134 0.268 0.300 Ce
0.883 0.765 0.180 Ce
0.790 0.579 0.507 Sc
0.210 0.421 0.007 Sc
0.545 0.091 0.953 Ge
0.455 0.909 0.453 Ge
0.359 0.719 0.011 N
0.676 0.352 0.870 N
0.490 0.981 0.784 N
0.289 0.578 0.669 N
0.954 0.908 0.551 N
0.641 0.281 0.511 N
0.324 0.648 0.370 N
0.510 0.019 0.284 N
0.711 0.422 0.169 N
0.046 0.092 0.051 N

***

PBE AcZnAs, relaxed; calculated formation energy = -0.80 eV/atom; relative energy among the computed polymorphs = 0.00 eV per formula unit; crystal system = monoclinic; raw total energy = -4.15 eV/atom; theoretical density = 7.89 g/cm3
1.0
-2.144 -1.165 -3.464
-0.210 -6.388 -0.310
-4.088 0.733 4.872
As Zn Ac
2 2 2
direct
0.501 0.294 0.296 As
0.499 0.706 0.704 As
0.999 0.141 0.140 Zn
0.001 0.859 0.860 Zn
0.769 0.730 0.269 Ac
0.231 0.270 0.731 Ac

***

PBE NaDy2O, relaxed; crystal system = trigonal; raw total energy = -5.01 eV/atom; theoretical density = 6.02 g/cm3; energy relative to the elements, uncorrected = -1143 meV per atom
1.0
-2.656 1.954 1.150
-0.727 0.123 3.413
4.753 8.107 2.507
Na O Dy
1 1 2
direct
0.000 0.000 0.000 Na
0.500 0.500 0.500 O
0.120 0.120 0.640 Dy
0.880 0.880 0.360 Dy

***

PBE TbTmCoRh, relaxed; calculated formation energy = -0.52 eV/atom; crystal system = cubic; raw total energy = -6.41 eV/atom; theoretical density = 10.61 g/cm3
1.0
4.767 0.000 0.000
2.384 4.129 0.000
2.384 1.376 3.892
Rh Tm Tb Co
1 1 1 1
direct
0.750 0.750 0.750 Rh
0.000 0.000 0.000 Tm
0.500 0.500 0.500 Tb
0.250 0.250 0.250 Co

***

PBE Tb2SmTiN4, relaxed; crystal system = orthorhombic; raw total energy = -8.34 eV/atom; theoretical density = 7.91 g/cm3; energy relative to the elements, uncorrected = -1439 meV per atom
1.0
3.414 0.000 0.000
-1.707 5.882 0.000
0.000 0.000 11.965
Tb Sm Ti N
4 2 2 8
direct
0.370 0.740 0.539 Tb
0.630 0.260 0.039 Tb
0.630 0.260 0.461 Tb
0.370 0.740 0.961 Tb
0.100 0.201 0.750 Sm
0.900 0.799 0.250 Sm
0.836 0.673 0.750 Ti
0.164 0.327 0.250 Ti
0.264 0.528 0.127 N
0.736 0.472 0.627 N
0.736 0.472 0.873 N
0.264 0.528 0.373 N
0.000 0.000 0.500 N
0.000 0.000 0.000 N
0.434 0.869 0.750 N
0.566 0.131 0.250 N

***

PBE AcScNi, relaxed; calculated formation energy = -0.11 eV/atom; crystal system = tetragonal; raw total energy = -5.51 eV/atom; theoretical density = 7.37 g/cm3
1.0
3.490 0.000 0.000
0.000 3.490 0.000
-1.745 -1.745 6.113
Sc Ni Ac
1 1 1
direct
0.287 0.287 0.573 Sc
0.693 0.693 0.387 Ni
0.020 0.020 0.040 Ac

***

PBE Ta2AsAuN, relaxed; crystal system = tetragonal; raw total energy = -7.93 eV/atom; theoretical density = 13.23 g/cm3; energy relative to the elements, uncorrected = 62 meV per atom
1.0
-1.808 3.025 2.244
-4.139 -2.063 -0.553
0.634 -2.209 3.489
As N Au Ta
1 1 1 2
direct
0.000 0.500 0.000 As
0.000 0.000 0.000 N
0.500 0.500 0.500 Au
0.000 0.000 0.500 Ta
0.500 0.000 0.000 Ta

***

PBE MgGa3Ni3, relaxed; calculated formation energy = 0.25 eV/atom; crystal system = cubic; raw total energy = -3.75 eV/atom; theoretical density = 5.02 g/cm3
1.0
6.472 0.000 0.000
0.000 6.472 0.000
0.000 0.000 6.472
Ni Mg Ga
6 2 6
direct
0.000 0.250 0.500 Ni
0.000 0.750 0.500 Ni
0.500 0.000 0.750 Ni
0.750 0.500 0.000 Ni
0.500 0.000 0.250 Ni
0.250 0.500 0.000 Ni
0.500 0.500 0.500 Mg
0.000 0.000 0.000 Mg
0.250 0.000 0.500 Ga
0.000 0.500 0.250 Ga
0.500 0.750 0.000 Ga
0.750 0.000 0.500 Ga
0.000 0.500 0.750 Ga
0.500 0.250 0.000 Ga

***

PBE Nd2ErSn, relaxed; calculated formation energy = 0.00 eV/atom; relative energy among the computed polymorphs = 1.72 eV per formula unit; crystal system = trigonal; raw total energy = -4.52 eV/atom; theoretical density = 7.47 g/cm3
1.0
-2.307 -1.421 -2.220
-0.649 -3.441 0.113
-9.807 0.305 7.232
Nd Sn Er
2 1 1
direct
0.093 0.093 0.722 Nd
0.907 0.907 0.278 Nd
0.500 0.500 0.500 Sn
0.000 0.000 0.000 Er

***

PBE LaPu2NpAs4, relaxed; calculated formation energy = -1.02 eV/atom; crystal system = monoclinic; raw total energy = -9.16 eV/atom; theoretical density = 9.28 g/cm3
1.0
-1.357 -3.943 0.373
2.033 -1.348 -6.853
5.507 -1.471 4.481
La Pu Np As
1 2 1 4
direct
0.500 0.500 0.000 La
0.500 0.000 0.500 Pu
0.000 0.500 0.500 Pu
0.000 0.000 0.000 Np
0.500 0.242 0.252 As
0.500 0.758 0.748 As
0.000 0.236 0.741 As
0.000 0.764 0.259 As

***

PBE DyInTeO6, relaxed; crystal system = trigonal; raw total energy = -6.40 eV/atom; theoretical density = 6.81 g/cm3; energy relative to the elements, uncorrected = -1931 meV per atom
1.0
-2.953 2.483 3.787
-0.772 -5.253 -1.016
6.629 -2.261 6.651
Dy In Te O
2 2 2 12
direct
0.000 0.000 0.000 Dy
0.000 0.000 0.500 Dy
0.333 0.667 0.250 In
0.667 0.333 0.750 In
0.667 0.333 0.250 Te
0.333 0.667 0.750 Te
0.663 0.631 0.136 O
0.967 0.337 0.136 O
0.337 0.967 0.636 O
0.033 0.663 0.864 O
0.369 0.337 0.364 O
0.967 0.631 0.364 O
0.631 0.967 0.864 O
0.663 0.033 0.364 O
0.033 0.369 0.636 O
0.369 0.033 0.136 O
0.631 0.663 0.636 O
0.337 0.369 0.864 O

***

PBE Pb5Br3, relaxed; relative energy among the computed polymorphs = 0.70 eV per formula unit; crystal system = orthorhombic; raw total energy = -3.20 eV/atom; theoretical density = 8.63 g/cm3; energy relative to the elements, uncorrected = -252 meV per atom
1.0
4.033 -5.462 0.000
4.033 5.462 0.000
0.000 0.000 5.570
Pb Br
5 3
direct
0.000 0.000 0.000 Pb
0.000 0.500 0.000 Pb
0.500 0.000 0.000 Pb
0.224 0.224 0.500 Pb
0.776 0.776 0.500 Pb
0.500 0.500 0.000 Br
0.732 0.268 0.500 Br
0.268 0.732 0.500 Br

***

PBE CsAcTl2O4, relaxed; crystal system = tetragonal; raw total energy = -5.23 eV/atom; theoretical density = 8.89 g/cm3; energy relative to the elements, uncorrected = -1541 meV per atom
1.0
4.438 0.000 0.000
0.000 4.438 0.000
0.000 0.000 7.893
Cs Ac Tl O
1 1 2 4
direct
0.000 0.000 0.500 Cs
0.000 0.000 0.000 Ac
0.500 0.500 0.293 Tl
0.500 0.500 0.707 Tl
0.000 0.500 0.191 O
0.500 0.000 0.809 O
0.500 0.000 0.191 O
0.000 0.500 0.809 O

***

PBE Ba2CuTc, relaxed; calculated formation energy = 0.50 eV/atom; relative energy among the computed polymorphs = 0.34 eV per formula unit; crystal system = orthorhombic; raw total energy = -4.08 eV/atom; theoretical density = 5.68 g/cm3
1.0
-3.479 2.818 -0.238
-2.263 -2.492 3.581
1.363 2.168 5.740
Ba Cu Tc
2 1 1
direct
0.000 0.978 0.919 Ba
0.500 0.267 0.341 Ba
0.000 0.670 0.536 Cu
0.500 0.585 0.704 Tc

***

PBE Ca4Ga2P, relaxed; calculated formation energy = -0.41 eV/atom; crystal system = tetragonal; raw total energy = -3.19 eV/atom; theoretical density = 2.44 g/cm3
1.0
-2.766 4.230 -2.499
-2.003 -3.590 -3.859
-8.013 -0.940 0.915
P Ca Ga
1 4 2
direct
0.000 0.000 0.000 P
0.193 0.193 0.613 Ca
0.807 0.807 0.387 Ca
0.000 0.500 0.000 Ca
0.500 0.000 0.000 Ca
0.405 0.405 0.189 Ga
0.595 0.595 0.811 Ga

***

PBE CaMgSb2, relaxed; crystal system = trigonal; raw total energy = -3.40 eV/atom; theoretical density = 4.58 g/cm3; energy relative to the elements, uncorrected = -442 meV per atom
1.0
6.169 0.037 0.024
4.243 4.478 0.024
4.243 1.840 4.082
Ca Mg Sb
1 1 2
direct
0.250 0.250 0.250 Ca
0.750 0.750 0.750 Mg
0.007 0.007 0.007 Sb
0.493 0.493 0.493 Sb

***

PBE KRb2Ag, relaxed; calculated formation energy = 0.13 eV/atom; crystal system = cubic; raw total energy = -1.34 eV/atom; theoretical density = 2.54 g/cm3
1.0
-5.622 -2.108 -2.861
-5.816 0.766 3.134
-4.439 4.410 -2.257
K Rb Ag
1 2 1
direct
0.000 0.000 0.000 K
0.250 0.250 0.250 Rb
0.750 0.750 0.750 Rb
0.500 0.500 0.500 Ag

***

PBE Cs2Ba2Cl, relaxed; crystal system = tetragonal; raw total energy = -2.02 eV/atom; theoretical density = 2.72 g/cm3; energy relative to the elements, uncorrected = -538 meV per atom
1.0
-3.891 -6.314 4.928
7.970 -3.597 1.685
0.794 5.131 7.200
Cs Ba Cl
4 4 2
direct
0.175 0.675 0.500 Cs
0.675 0.825 0.500 Cs
0.825 0.325 0.500 Cs
0.325 0.175 0.500 Cs
0.320 0.820 0.000 Ba
0.820 0.680 0.000 Ba
0.680 0.180 0.000 Ba
0.180 0.320 0.000 Ba
0.000 0.000 0.000 Cl
0.500 0.500 0.000 Cl